First-principles (GGA-PBE) data for a geometry-optimized Ni2SN structure, as listed in Alexandria.

The space group is Fm-3m, No. 225. As for the formation energy (no corrections): 664 meV per atom. As for the total magnetization: 0.00 Bohr magnetons per cell.

Lattice parameters (Å, degrees): 3.851 3.851 3.851 60.00 60.00 60.00
Sites, in units of the cell vectors:
Ni 0.250 0.250 0.250
Ni 0.750 0.750 0.750
S 0.000 0.000 0.000
N 0.500 0.500 0.500